Compound: CaBeW2
Source: Alexandria via LeMat-Bulk
Functional: GGA-PBEsol
Structure: relaxed

Cell: 2.7152 2.7152 8.5885 Å, 90.00 90.00 90.00°
Closest atoms and distances in Å follow each position.
Fractional coordinates of all 4 atoms:
1 Ca 0.0000 0.0000 0.0000  4 Ca 2.72
2 Be 0.0000 0.0000 0.5000  8 W 2.53, 4 Be 2.72
3 W 0.5000 0.5000 0.3086  4 Be 2.53, 4 W 2.72
4 W 0.5000 0.5000 0.6914  4 Be 2.53, 4 W 2.72

Summary:
Calculated formation energy, meV/atom: 627
M_tot, Bohr magnetons per cell: 0.0
Symmetry: No. 123
Crystal system: tetragonal


Compound: CaBe2W
Source: Alexandria via LeMat-Bulk
Functional: GGA-PBEsol
Structure: relaxed

Cell: 4.4418 4.4418 5.7542 Å, 97.50 97.50 35.07°
Closest atoms and distances in Å follow each position.
Fractional coordinates of all 4 atoms:
1 Ca 0.0000 0.0000 0.0000  2 Ca 2.68
2 Be 0.2422 0.2422 0.6476  2 Be 2.18
3 Be 0.7578 0.7578 0.3524  2 Be 2.18
4 W 0.5000 0.5000 0.5000  6 Be 2.45-2.50, 2 W 2.68

Summary:
Calculated formation energy, meV/atom: 595
M_tot, Bohr magnetons per cell: 0.0
Symmetry: No. 12
Crystal system: monoclinic
Excess energy over the best structure of this formula in the dataset, meV per atom: 94


Compound: CaBeW2
Source: Alexandria via LeMat-Bulk
Functional: GGA-PBEsol
Structure: relaxed

Cell: 3.1916 3.1971 6.8500 Å, 90.00 91.37 90.00°
Closest atoms and distances in Å follow each position.
Fractional coordinates of all 4 atoms:
1 Ca 0.0000 0.0000 0.0000  4 Be 3.10-3.11, 5 W 3.17-3.26, 4 Ca 3.19-3.20
2 Be 0.4863 0.5000 0.6885  5 W 2.48-2.53
3 W 0.5056 0.5000 0.3275  1 Be 2.48, 4 W 2.55-2.70
4 W 0.9768 0.0000 0.5235  4 Be 2.52-2.53, 4 W 2.55-2.70

Summary:
Calculated formation energy, meV/atom: 473
M_tot, Bohr magnetons per cell: 0.0
Symmetry: No. 6
Crystal system: monoclinic


Compound: CaBe2W
Source: Alexandria via LeMat-Bulk
Functional: GGA-PBEsol
Structure: relaxed

Cell: 4.5390 4.5390 2.7348 Å, 90.00 90.00 90.00°
Closest atoms and distances in Å follow each position.
Fractional coordinates of all 4 atoms:
1 Ca 0.0000 0.0000 0.0000  8 Be 2.60-2.70, 2 Ca 2.73
2 Be 0.0000 0.5000 0.4625  4 W 2.55-2.77, 4 Ca 2.60-2.70, 2 Be 2.73
3 Be 0.5000 0.0000 0.4625  4 W 2.55-2.77, 4 Ca 2.60-2.70, 2 Be 2.73
4 W 0.5000 0.5000 0.8838  8 Be 2.55-2.77, 2 W 2.73

Summary:
Calculated formation energy, meV/atom: 501
M_tot, Bohr magnetons per cell: 0.0
Symmetry: No. 99
Crystal system: tetragonal
Excess energy over the best structure of this formula in the dataset, meV per atom: 0